[1]
{"formula": "LaNiW", "functional": "GGA-PBE", "state": "optimized geometry", "lattice": [[4.112, 0.000, 0.000], [-2.056, 3.561, 0.000], [0.000, 0.000, 4.542]], "species": ["La", "Ni", "W"], "frac_coords": [[0.000, 0.000, 0.000], [0.333, 0.667, 0.500], [0.667, 0.333, 0.500]], "relative_energy_kcal_per_mol_atoms": 0.757, "rho_g_cm3": 9.5}

***

[2]
{"formula": "MgCoSb2S", "functional": "GGA-PBE", "state": "optimized geometry", "lattice": [[5.410, 0.000, 0.000], [0.000, 5.410, 0.000], [0.000, 0.000, 3.959]], "species": ["Mg", "Co", "Sb", "Sb", "S"], "frac_coords": [[0.000, 0.000, 0.000], [0.500, 0.500, 0.500], [0.000, 0.500, 0.500], [0.500, 0.000, 0.500], [0.500, 0.500, 0.000]], "e_form_raw_ev_per_atom": 0.11, "rho_g_cm3": 5.1}